Record 1
! PBE-GGA MgCrMo2, relaxed; values from VASP
! M_tot, μB per formula unit: 0.00
! Energy relative to the elements, meV per atom: 336
! Space group: P4/mmm (123)
&SYSTEM
  ibrav = 0, nat = 4, ntyp = 3
/
ATOMIC_SPECIES
Mg 24.30 Mg.upf
Cr 52.00 Cr.upf
Mo 95.94 Mo.upf
CELL_PARAMETERS angstrom
2.977 0.000 0.000
0.000 2.977 0.000
0.000 0.000 7.092
ATOMIC_POSITIONS crystal
Mg 0.000 0.000 0.000
Cr 0.000 0.000 0.500
Mo 0.500 0.500 0.292
Mo 0.500 0.500 0.708

Record 2
! PBE-GGA MgCr2Mo, relaxed; values from VASP
! M_tot, μB per formula unit: 0.01
! Energy relative to the elements, meV per atom: 569
! Space group: Cmmm (65)
&SYSTEM
  ibrav = 0, nat = 4, ntyp = 3
/
ATOMIC_SPECIES
Mg 24.30 Mg.upf
Cr 52.00 Cr.upf
Mo 95.94 Mo.upf
CELL_PARAMETERS angstrom
2.671 -4.242 0.000
2.671 4.242 0.000
0.000 0.000 2.537
ATOMIC_POSITIONS crystal
Mg 0.000 0.000 0.000
Cr 0.000 0.500 0.500
Cr 0.500 0.000 0.500
Mo 0.500 0.500 0.000